Computed, not measured: crystalline TaAl2Cr at its relaxed geometry at the PBE-GGA level of DFT.

Properties
Its total magnetic moment is 0.0001 μB/atom. Its calculated formation energy is -0.092 eV per atom. The density of states at the Fermi level is 1.94 states/eV/f.u. As for the symmetry: Pm (6). The energy relative to the lowest polymorph listed for this composition is 0.72 kcal/mol of atoms.

Lattice parameters (Å, degrees): 2.7675 4.3931 4.9985 90.00 96.21 90.00
Last column: nearest neighbours and their distance in Å.
Positions (direct):
Ta (0.0000, 0.0000, 0.0000)  6 Al 2.64-2.89, 2 Cr 2.64, 2 Ta 2.77
Al (0.5229, 0.0000, 0.5143)  2 Ta 2.64-2.81, 4 Al 2.64-2.77, 4 Cr 2.68-2.95
Al (0.5851, 0.5000, 0.2281)  3 Cr 2.64-2.88, 4 Al 2.64-2.77, 4 Ta 2.78-2.89
Cr (0.1633, 0.5000, 0.7291)  7 Al 2.64-2.95, 2 Ta 2.64, 2 Cr 2.77